No. 1
Entry from Alexandria: a geometry-optimized BaMg2Sc structure (PBE-GGA).

Calculated values
- Fermi-level density of states: 4.316 states/eV/cell
- Mass density: 2979 kg/m3
- DFT formation energy: 183 meV per atom

Unit cell a=5.6663 b=5.6663 c=6.9836 alpha=81.30 beta=81.30 gamma=35.55
Closest atoms and distances in Å follow each position.
Sites, in units of the cell vectors:
Ba (0.2500, 0.2500, 0.2500)  2 Ba 3.46, 6 Mg 3.63-3.71
Mg (0.0115, 0.0115, 0.9371)  4 Mg 3.18-3.46, 3 Sc 3.20-3.29
Mg (0.4885, 0.4885, 0.5629)  4 Mg 3.18-3.46, 3 Sc 3.20-3.29
Sc (0.7500, 0.7500, 0.7500)  6 Mg 3.20-3.29, 2 Sc 3.46

No. 2
Entry from Alexandria: a geometry-optimized BaMgSc4 structure (PBE-GGA).

Calculated values
- Fermi-level density of states: 9.594 states/eV/cell
- Mass density: 3165 kg/m3
- DFT formation energy: 324 meV per atom

Unit cell a=6.3276 b=6.3276 c=6.3276 alpha=60.00 beta=60.00 gamma=60.00
Closest atoms and distances in Å follow each position.
Sites, in units of the cell vectors:
Ba (0.7500, 0.7500, 0.7500)  12 Sc 3.72, 4 Mg 3.87
Mg (0.0000, 0.0000, 0.0000)  12 Sc 3.70, 4 Ba 3.87
Sc (0.8827, 0.3724, 0.3724)  6 Sc 3.10-3.23
Sc (0.3724, 0.3724, 0.8827)  6 Sc 3.10-3.23
Sc (0.3724, 0.8827, 0.3724)  6 Sc 3.10-3.23
Sc (0.3724, 0.3724, 0.3724)  6 Sc 3.10-3.23

No. 3
Entry from Alexandria: a geometry-optimized BaMg2Sc structure (PBE-GGA).

Calculated values
- Fermi-level density of states: 4.929 states/eV/cell
- Mass density: 3044 kg/m3
- DFT formation energy: 138 meV per atom

Unit cell a=5.1967 b=3.5032 c=7.1394 alpha=75.69 beta=90.00 gamma=90.00
Closest atoms and distances in Å follow each position.
Sites, in units of the cell vectors:
Ba (0.5000, 0.8027, 0.7731)  7 Mg 3.47-3.87, 2 Ba 3.50
Mg (0.0000, 0.1708, 0.0361)  2 Mg 3.07, 2 Sc 3.18
Mg (0.5000, 0.0493, 0.2713)  2 Mg 3.07, 4 Sc 3.29-3.30
Sc (0.0000, 0.4772, 0.4195)  6 Mg 3.18-3.30, 2 Sc 3.50

No. 4
Entry from Alexandria: a geometry-optimized BaMg2Sc structure (PBE-GGA).

Calculated values
- Fermi-level density of states: 3.545 states/eV/cell
- Mass density: 3104 kg/m3
- DFT formation energy: 181 meV per atom

Unit cell a=5.7264 b=5.7264 c=6.6411 alpha=83.03 beta=83.03 gamma=34.88
Closest atoms and distances in Å follow each position.
Sites, in units of the cell vectors:
Ba (0.2539, 0.2539, 0.2421)  2 Ba 3.43, 7 Mg 3.46-3.77, 3 Sc 3.53-3.78
Mg (0.0092, 0.0092, 0.9583)  2 Sc 3.18, 5 Mg 3.31-3.43, 1 Ba 3.46
Mg (0.7489, 0.7489, 0.7379)  3 Sc 3.22, 5 Mg 3.31-3.43
Sc (0.4880, 0.4880, 0.5618)  5 Mg 3.18-3.22, 2 Sc 3.43, 1 Ba 3.53

No. 5
Entry from Alexandria: a geometry-optimized BaMg3Sc structure (PBE-GGA).

Calculated values
- Fermi-level density of states: 6.811 states/eV/cell
- Mass density: 2289 kg/m3
- DFT formation energy: 423 meV per atom

Unit cell a=5.6994 b=5.6994 c=5.6994 alpha=90.00 beta=90.00 gamma=90.00
Closest atoms and distances in Å follow each position.
Sites, in units of the cell vectors:
Sc (0.0000, 0.0000, 0.0000)  6 Mg 2.85
Mg (0.0000, 0.5000, 0.0000)  2 Sc 2.85
Mg (0.0000, 0.0000, 0.5000)  2 Sc 2.85
Mg (0.5000, 0.0000, 0.0000)  2 Sc 2.85
Ba (0.5000, 0.5000, 0.5000)  12 Mg 4.03

No. 6
Entry from Alexandria: a geometry-optimized BaMg2Sc structure (PBE-GGA).

Calculated values
- Fermi-level density of states: 3.622 states/eV/cell
- Mass density: 3114 kg/m3
- DFT formation energy: 170 meV per atom

Unit cell a=6.7401 b=6.7401 c=6.7401 alpha=148.66 beta=128.71 gamma=61.34
Closest atoms and distances in Å follow each position.
Sites, in units of the cell vectors:
Ba (0.2410, 0.7410, 0.5000)  6 Mg 3.44-3.62, 2 Ba 3.64, 4 Sc 3.80-3.82
Mg (0.9706, 0.9706, 0.0000)  2 Mg 3.07
Mg (0.7576, 0.2576, 0.5000)  2 Mg 3.07, 2 Sc 3.20
Sc (0.5308, 0.5308, 0.0000)  6 Mg 3.20-3.51

No. 7
Entry from Alexandria: a geometry-optimized BaMgSc3 structure (PBE-GGA).

Calculated values
- Fermi-level density of states: 10.683 states/eV/cell
- Mass density: 2961 kg/m3
- DFT formation energy: 582 meV per atom

Unit cell a=5.4989 b=5.4989 c=5.4989 alpha=90.00 beta=90.00 gamma=90.00
Closest atoms and distances in Å follow each position.
Sites, in units of the cell vectors:
Sc (0.0000, 0.5000, 0.0000)  2 Mg 2.75
Sc (0.0000, 0.0000, 0.5000)  2 Mg 2.75
Sc (0.5000, 0.0000, 0.0000)  2 Mg 2.75
Mg (0.0000, 0.0000, 0.0000)  6 Sc 2.75
Ba (0.5000, 0.5000, 0.5000)  12 Sc 3.89

No. 8
Entry from Alexandria: a geometry-optimized BaMg2Sc structure (PBE-GGA).

Calculated values
- Fermi-level density of states: 5.130 states/eV/cell
- Mass density: 3152 kg/m3
- DFT formation energy: 203 meV per atom

Unit cell a=11.3623 b=11.3623 c=11.3623 alpha=17.95 beta=17.95 gamma=17.95
Closest atoms and distances in Å follow each position.
Sites, in units of the cell vectors:
Ba (0.7500, 0.7500, 0.7500)  6 Ba 3.54, 6 Mg 3.73
Mg (0.9905, 0.9905, 0.9905)  3 Sc 3.21, 6 Mg 3.54
Mg (0.5095, 0.5095, 0.5095)  3 Sc 3.21, 6 Mg 3.54
Sc (0.2500, 0.2500, 0.2500)  6 Mg 3.21, 6 Sc 3.54

| no. | total DFT energy (no corrections) (eV per atom) |
| --- | --- |
| 1 | -2.6782 |
| 2 | -4.4829 |
| 3 | -2.7229 |
| 4 | -2.6801 |
| 5 | -2.1851 |
| 6 | -2.6905 |
| 7 | -3.9208 |
| 8 | -2.6575 |